*A*
Compound: ReP2PdO
Source: Alexandria via LeMat-Bulk
Functional: PBE-GGA
Structure: optimized geometry

```
data_ReP2PdO
_cell_length_a 4.7337
_cell_length_b 4.7337
_cell_length_c 3.6892
_cell_angle_alpha 90.00
_cell_angle_beta 90.00
_cell_angle_gamma 90.00
_space_group_name_H-M_alt 'P 4/m m m'
_space_group_IT_number 123
_space_group_name_Hall '-P 4 2'
loop_
_atom_site_label
_atom_site_type_symbol
_atom_site_fract_x
_atom_site_fract_y
_atom_site_fract_z
_atom_site_occupancy
Re1 Re 0.0000 0.0000 0.0000 1
P1 P 0.0000 0.5000 0.0000 1
Pd1 Pd 0.5000 0.5000 0.5000 1
O1 O 0.0000 0.0000 0.5000 1
```

***

*B*
Compound: ReP2PdO
Source: Alexandria via LeMat-Bulk
Functional: PBE-GGA
Structure: optimized geometry

```
data_ReP2PdO
_cell_length_a 4.6897
_cell_length_b 4.6897
_cell_length_c 3.7477
_cell_angle_alpha 90.00
_cell_angle_beta 90.00
_cell_angle_gamma 90.00
_space_group_name_H-M_alt 'P 4/m m m'
_space_group_IT_number 123
_space_group_name_Hall '-P 4 2'
loop_
_atom_site_label
_atom_site_type_symbol
_atom_site_fract_x
_atom_site_fract_y
_atom_site_fract_z
_atom_site_occupancy
Re1 Re 0.0000 0.0000 0.0000 1
P1 P 0.0000 0.5000 0.5000 1
Pd1 Pd 0.5000 0.5000 0.5000 1
O1 O 0.5000 0.5000 0.0000 1
```

***

*A* has the most favorable energy; the next structure is 1.080 eV/atom above.

***

*A*
Compound: PPdSeO2
Source: Alexandria via LeMat-Bulk
Functional: PBE-GGA
Structure: optimized geometry

```
data_PPdSeO2
_cell_length_a 3.8290
_cell_length_b 3.8290
_cell_length_c 5.3504
_cell_angle_alpha 90.00
_cell_angle_beta 90.00
_cell_angle_gamma 90.00
_space_group_name_H-M_alt 'P 4/m m m'
_space_group_IT_number 123
_space_group_name_Hall '-P 4 2'
loop_
_atom_site_label
_atom_site_type_symbol
_atom_site_fract_x
_atom_site_fract_y
_atom_site_fract_z
_atom_site_occupancy
P1 P 0.0000 0.0000 0.0000 1
Pd1 Pd 0.0000 0.0000 0.5000 1
Se1 Se 0.5000 0.5000 0.0000 1
O1 O 0.0000 0.5000 0.5000 1
```

***

*B*
Compound: PPdSeO2
Source: Alexandria via LeMat-Bulk
Functional: PBE-GGA
Structure: optimized geometry

```
data_PPdSeO2
_cell_length_a 3.6805
_cell_length_b 3.6805
_cell_length_c 5.2600
_cell_angle_alpha 90.00
_cell_angle_beta 90.00
_cell_angle_gamma 90.00
_space_group_name_H-M_alt 'P 4/m m m'
_space_group_IT_number 123
_space_group_name_Hall '-P 4 2'
loop_
_atom_site_label
_atom_site_type_symbol
_atom_site_fract_x
_atom_site_fract_y
_atom_site_fract_z
_atom_site_occupancy
P1 P 0.0000 0.0000 0.0000 1
Pd1 Pd 0.5000 0.5000 0.0000 1
Se1 Se 0.0000 0.0000 0.5000 1
O1 O 0.0000 0.5000 0.5000 1
```

***

*B* has the most favorable energy; the next structure is 0.168 eV/atom above.

***

*A*
Compound: SiP2PdO
Source: Alexandria via LeMat-Bulk
Functional: PBE-GGA
Structure: optimized geometry

```
data_SiP2PdO
_cell_length_a 4.7480
_cell_length_b 4.7480
_cell_length_c 3.2056
_cell_angle_alpha 90.00
_cell_angle_beta 90.00
_cell_angle_gamma 90.00
_space_group_name_H-M_alt 'P 4/m m m'
_space_group_IT_number 123
_space_group_name_Hall '-P 4 2'
loop_
_atom_site_label
_atom_site_type_symbol
_atom_site_fract_x
_atom_site_fract_y
_atom_site_fract_z
_atom_site_occupancy
Si1 Si 0.0000 0.0000 0.0000 1
P1 P 0.0000 0.5000 0.0000 1
Pd1 Pd 0.5000 0.5000 0.5000 1
O1 O 0.0000 0.0000 0.5000 1
```

***

*B*
Compound: SiP2PdO
Source: Alexandria via LeMat-Bulk
Functional: PBE-GGA
Structure: optimized geometry

```
data_SiP2PdO
_cell_length_a 4.7612
_cell_length_b 4.7612
_cell_length_c 3.8023
_cell_angle_alpha 90.00
_cell_angle_beta 90.00
_cell_angle_gamma 90.00
_space_group_name_H-M_alt 'P 4/m m m'
_space_group_IT_number 123
_space_group_name_Hall '-P 4 2'
loop_
_atom_site_label
_atom_site_type_symbol
_atom_site_fract_x
_atom_site_fract_y
_atom_site_fract_z
_atom_site_occupancy
Si1 Si 0.0000 0.0000 0.0000 1
P1 P 0.0000 0.5000 0.5000 1
Pd1 Pd 0.5000 0.5000 0.5000 1
O1 O 0.5000 0.5000 0.0000 1
```

***

*A* has the most favorable energy; the next structure is 0.918 eV/atom above.

***

*A*
Compound: SrP2PdO
Source: Alexandria via LeMat-Bulk
Functional: PBE-GGA
Structure: optimized geometry

```
data_SrP2PdO
_cell_length_a 5.5582
_cell_length_b 5.5582
_cell_length_c 4.2801
_cell_angle_alpha 90.00
_cell_angle_beta 90.00
_cell_angle_gamma 90.00
_space_group_name_H-M_alt 'P 4/m m m'
_space_group_IT_number 123
_space_group_name_Hall '-P 4 2'
loop_
_atom_site_label
_atom_site_type_symbol
_atom_site_fract_x
_atom_site_fract_y
_atom_site_fract_z
_atom_site_occupancy
Sr1 Sr 0.0000 0.0000 0.0000 1
P1 P 0.0000 0.5000 0.0000 1
Pd1 Pd 0.5000 0.5000 0.5000 1
O1 O 0.0000 0.0000 0.5000 1
```

***

*B*
Compound: SrP2PdO
Source: Alexandria via LeMat-Bulk
Functional: PBE-GGA
Structure: optimized geometry

```
data_SrP2PdO
_cell_length_a 4.6434
_cell_length_b 4.6434
_cell_length_c 4.5278
_cell_angle_alpha 90.00
_cell_angle_beta 90.00
_cell_angle_gamma 90.00
_space_group_name_H-M_alt 'P 4/m m m'
_space_group_IT_number 123
_space_group_name_Hall '-P 4 2'
loop_
_atom_site_label
_atom_site_type_symbol
_atom_site_fract_x
_atom_site_fract_y
_atom_site_fract_z
_atom_site_occupancy
Sr1 Sr 0.0000 0.0000 0.0000 1
P1 P 0.0000 0.5000 0.5000 1
Pd1 Pd 0.5000 0.5000 0.5000 1
O1 O 0.5000 0.5000 0.0000 1
```

***

*B* has the most favorable energy; the next structure is 1.216 eV/atom above.

***

*A*
Compound: TaPPdO2
Source: Alexandria via LeMat-Bulk
Functional: PBE-GGA
Structure: optimized geometry

```
data_TaPPdO2
_cell_length_a 3.8211
_cell_length_b 3.8211
_cell_length_c 5.4629
_cell_angle_alpha 90.00
_cell_angle_beta 90.00
_cell_angle_gamma 90.00
_space_group_name_H-M_alt 'P 4/m m m'
_space_group_IT_number 123
_space_group_name_Hall '-P 4 2'
loop_
_atom_site_label
_atom_site_type_symbol
_atom_site_fract_x
_atom_site_fract_y
_atom_site_fract_z
_atom_site_occupancy
Ta1 Ta 0.0000 0.0000 0.0000 1
P1 P 0.0000 0.0000 0.5000 1
Pd1 Pd 0.5000 0.5000 0.5000 1
O1 O 0.0000 0.5000 0.0000 1
```

***

*B*
Compound: TaPPdO2
Source: Alexandria via LeMat-Bulk
Functional: PBE-GGA
Structure: optimized geometry

```
data_TaPPdO2
_cell_length_a 3.8906
_cell_length_b 3.8906
_cell_length_c 4.7102
_cell_angle_alpha 90.00
_cell_angle_beta 90.00
_cell_angle_gamma 90.00
_space_group_name_H-M_alt 'P 4/m m m'
_space_group_IT_number 123
_space_group_name_Hall '-P 4 2'
loop_
_atom_site_label
_atom_site_type_symbol
_atom_site_fract_x
_atom_site_fract_y
_atom_site_fract_z
_atom_site_occupancy
Ta1 Ta 0.0000 0.0000 0.0000 1
P1 P 0.5000 0.5000 0.0000 1
Pd1 Pd 0.5000 0.5000 0.5000 1
O1 O 0.0000 0.5000 0.5000 1
```

***

*A* has the most favorable energy; the next structure is 1.528 eV/atom above.

***

*A*
Compound: TePPdO2
Source: Alexandria via LeMat-Bulk
Functional: PBE-GGA
Structure: optimized geometry

```
data_TePPdO2
_cell_length_a 4.0137
_cell_length_b 4.0137
_cell_length_c 4.7807
_cell_angle_alpha 90.00
_cell_angle_beta 90.00
_cell_angle_gamma 90.00
_space_group_name_H-M_alt 'P 4/m m m'
_space_group_IT_number 123
_space_group_name_Hall '-P 4 2'
loop_
_atom_site_label
_atom_site_type_symbol
_atom_site_fract_x
_atom_site_fract_y
_atom_site_fract_z
_atom_site_occupancy
Te1 Te 0.0000 0.0000 0.0000 1
P1 P 0.5000 0.5000 0.0000 1
Pd1 Pd 0.5000 0.5000 0.5000 1
O1 O 0.0000 0.5000 0.5000 1
```

***

*B*
Compound: TePPdO2
Source: Alexandria via LeMat-Bulk
Functional: PBE-GGA
Structure: optimized geometry

```
data_TePPdO2
_cell_length_a 3.8466
_cell_length_b 3.8466
_cell_length_c 5.5319
_cell_angle_alpha 90.00
_cell_angle_beta 90.00
_cell_angle_gamma 90.00
_space_group_name_H-M_alt 'P 4/m m m'
_space_group_IT_number 123
_space_group_name_Hall '-P 4 2'
loop_
_atom_site_label
_atom_site_type_symbol
_atom_site_fract_x
_atom_site_fract_y
_atom_site_fract_z
_atom_site_occupancy
Te1 Te 0.0000 0.0000 0.0000 1
P1 P 0.0000 0.0000 0.5000 1
Pd1 Pd 0.5000 0.5000 0.5000 1
O1 O 0.0000 0.5000 0.0000 1
```

***

*B* has the most favorable energy; the next structure is 0.223 eV/atom above.

***

*A*
Compound: TiP2PdO
Source: Alexandria via LeMat-Bulk
Functional: PBE-GGA
Structure: optimized geometry

```
data_TiP2PdO
_cell_length_a 4.6435
_cell_length_b 4.6435
_cell_length_c 3.8794
_cell_angle_alpha 90.00
_cell_angle_beta 90.00
_cell_angle_gamma 90.00
_space_group_name_H-M_alt 'P 4/m m m'
_space_group_IT_number 123
_space_group_name_Hall '-P 4 2'
loop_
_atom_site_label
_atom_site_type_symbol
_atom_site_fract_x
_atom_site_fract_y
_atom_site_fract_z
_atom_site_occupancy
Ti1 Ti 0.0000 0.0000 0.0000 1
P1 P 0.0000 0.5000 0.5000 1
Pd1 Pd 0.5000 0.5000 0.5000 1
O1 O 0.5000 0.5000 0.0000 1
```

***

*B*
Compound: TiP2PdO
Source: Alexandria via LeMat-Bulk
Functional: PBE-GGA
Structure: optimized geometry

```
data_TiP2PdO
_cell_length_a 4.8716
_cell_length_b 4.8716
_cell_length_c 3.6124
_cell_angle_alpha 90.00
_cell_angle_beta 90.00
_cell_angle_gamma 90.00
_space_group_name_H-M_alt 'P 4/m m m'
_space_group_IT_number 123
_space_group_name_Hall '-P 4 2'
loop_
_atom_site_label
_atom_site_type_symbol
_atom_site_fract_x
_atom_site_fract_y
_atom_site_fract_z
_atom_site_occupancy
Ti1 Ti 0.0000 0.0000 0.0000 1
P1 P 0.0000 0.5000 0.0000 1
Pd1 Pd 0.5000 0.5000 0.5000 1
O1 O 0.0000 0.0000 0.5000 1
```

***

*B* has the most favorable energy; the next structure is 0.655 eV/atom above.

***

*A*
Compound: TiPPdO2
Source: Alexandria via LeMat-Bulk
Functional: PBE-GGA
Structure: optimized geometry

```
data_TiPPdO2
_cell_length_a 3.9089
_cell_length_b 3.9089
_cell_length_c 4.7039
_cell_angle_alpha 90.00
_cell_angle_beta 90.00
_cell_angle_gamma 90.00
_space_group_name_H-M_alt 'P 4/m m m'
_space_group_IT_number 123
_space_group_name_Hall '-P 4 2'
loop_
_atom_site_label
_atom_site_type_symbol
_atom_site_fract_x
_atom_site_fract_y
_atom_site_fract_z
_atom_site_occupancy
Ti1 Ti 0.0000 0.0000 0.0000 1
P1 P 0.5000 0.5000 0.0000 1
Pd1 Pd 0.5000 0.5000 0.5000 1
O1 O 0.0000 0.5000 0.5000 1
```

***

*B*
Compound: TiPPdO2
Source: Alexandria via LeMat-Bulk
Functional: PBE-GGA
Structure: optimized geometry

```
data_TiPPdO2
_cell_length_a 3.6990
_cell_length_b 3.6990
_cell_length_c 5.5261
_cell_angle_alpha 90.00
_cell_angle_beta 90.00
_cell_angle_gamma 90.00
_space_group_name_H-M_alt 'P 4/m m m'
_space_group_IT_number 123
_space_group_name_Hall '-P 4 2'
loop_
_atom_site_label
_atom_site_type_symbol
_atom_site_fract_x
_atom_site_fract_y
_atom_site_fract_z
_atom_site_occupancy
Ti1 Ti 0.0000 0.0000 0.0000 1
P1 P 0.0000 0.0000 0.5000 1
Pd1 Pd 0.5000 0.5000 0.5000 1
O1 O 0.0000 0.5000 0.0000 1
```

***

*B* has the most favorable energy; the next structure is 1.047 eV/atom above.

***

*A*
Compound: TlPPdO2
Source: Alexandria via LeMat-Bulk
Functional: PBE-GGA
Structure: optimized geometry

```
data_TlPPdO2
_cell_length_a 4.0041
_cell_length_b 4.0041
_cell_length_c 4.9837
_cell_angle_alpha 90.00
_cell_angle_beta 90.00
_cell_angle_gamma 90.00
_space_group_name_H-M_alt 'P 4/m m m'
_space_group_IT_number 123
_space_group_name_Hall '-P 4 2'
loop_
_atom_site_label
_atom_site_type_symbol
_atom_site_fract_x
_atom_site_fract_y
_atom_site_fract_z
_atom_site_occupancy
Tl1 Tl 0.0000 0.0000 0.0000 1
P1 P 0.5000 0.5000 0.0000 1
Pd1 Pd 0.5000 0.5000 0.5000 1
O1 O 0.0000 0.5000 0.5000 1
```

***

*B*
Compound: TlPPdO2
Source: Alexandria via LeMat-Bulk
Functional: PBE-GGA
Structure: optimized geometry

```
data_TlPPdO2
_cell_length_a 4.0244
_cell_length_b 4.0244
_cell_length_c 5.8789
_cell_angle_alpha 90.00
_cell_angle_beta 90.00
_cell_angle_gamma 90.00
_space_group_name_H-M_alt 'P 4/m m m'
_space_group_IT_number 123
_space_group_name_Hall '-P 4 2'
loop_
_atom_site_label
_atom_site_type_symbol
_atom_site_fract_x
_atom_site_fract_y
_atom_site_fract_z
_atom_site_occupancy
Tl1 Tl 0.0000 0.0000 0.0000 1
P1 P 0.0000 0.0000 0.5000 1
Pd1 Pd 0.5000 0.5000 0.5000 1
O1 O 0.0000 0.5000 0.0000 1
```

***

*A* has the most favorable energy; the next structure is 0.617 eV/atom above.